Below is a geometry-optimized BiW structure, with properties calculated at the PBE level.

Summary:
Distance to the lowest polymorph of the same formula in meV/atom: 1645.1
E_tot in eV/cell: -75.06
Calculated density in kg/m³: 7817
Size of the total moment in μB/cell: 17.26

abc: 7.9406 7.9406 7.9406
angles: 90.00 90.00 90.00
Space group Pm-3n (No. 223)
Inequivalent atoms, fractional coordinates:
1 Bi 0.0000 0.2500 0.5000 x6
2 W 0.0000 0.5000 0.2500 x6